Here is a relaxed structure of Li3CrO4 from Alexandria. Energies are from GGA+U.

Calculated values
Total moment: 1.00 μB/f.u.
Energy above the lowest structure with this stoichiometry: 0.0 meV/atom
Total energy: -95.62 eV/cell

Cell: 5.4749 5.0295 6.3802 Å, 90.00 90.09 90.00°
Closest atoms and distances in Å follow each position.
Space group P2_1 (No. 4)
One atom of each set of equivalent atoms:
Li 0.1595 0.9998 0.2508  4 O 2.00-2.02
Li 0.3307 0.4976 0.4947  4 O 1.96-2.03
Li 0.3345 0.5000 0.0003  4 O 1.97-2.01
Cr 0.1710 0.9919 0.7500  4 O 1.73
O 0.1287 0.6014 0.2460  1 Cr 1.73
O 0.1798 0.6483 0.7471  1 Cr 1.73
O 0.3139 0.1029 0.9761  1 Cr 1.73
O 0.3192 0.0968 0.5253  1 Cr 1.73